[1]
A plane-wave DFT calculation with GGA-PBE was carried out for an optimized crystal structure of LiSc2HgC.

Lattice parameters (Å, degrees): 4.4997 4.4997 4.3406 90.00 90.00 90.00
With the nearest neighbours (Å) after each atom.
Atoms (fractional coordinates):
Li 0.0000 0.0000 0.0000  2 C 2.17
Sc 0.0000 0.5000 0.5000  2 C 2.25
Sc 0.5000 0.0000 0.5000  2 C 2.25
Hg 0.5000 0.5000 0.0000  8 Sc 3.13, 4 Li 3.18
C 0.0000 0.0000 0.5000  2 Li 2.17, 4 Sc 2.25



[2]
A plane-wave DFT calculation with GGA-PBE was carried out for an optimized crystal structure of Zn2CoRe.

Lattice parameters (Å, degrees): 4.4763 4.4763 2.7058 90.00 90.00 90.00
With the nearest neighbours (Å) after each atom.
Atoms (fractional coordinates):
Zn 0.0000 0.5000 0.0000  4 Co 2.62, 4 Re 2.62, 2 Zn 2.71
Zn 0.5000 0.0000 0.0000  4 Co 2.62, 4 Re 2.62, 2 Zn 2.71
Co 0.0000 0.0000 0.5000  8 Zn 2.62, 2 Co 2.71
Re 0.5000 0.5000 0.5000  8 Zn 2.62, 2 Re 2.71



[3]
A plane-wave DFT calculation with GGA-PBE was carried out for an optimized crystal structure of SmPuThSc.

Lattice parameters (Å, degrees): 7.7510 7.7510 7.7510 90.00 90.00 90.00
With the nearest neighbours (Å) after each atom.
Atoms (fractional coordinates):
Sm 0.0000 0.0000 0.0000  4 Sc 3.36, 4 Pu 3.36
Sm 0.0000 0.5000 0.5000  4 Sc 3.36, 4 Pu 3.36
Sm 0.5000 0.0000 0.5000  4 Sc 3.36, 4 Pu 3.36
Sm 0.5000 0.5000 0.0000  4 Sc 3.36, 4 Pu 3.36
Pu 0.2500 0.2500 0.7500  4 Th 3.36, 4 Sm 3.36
Pu 0.2500 0.7500 0.2500  4 Th 3.36, 4 Sm 3.36
Pu 0.7500 0.2500 0.2500  4 Th 3.36, 4 Sm 3.36
Pu 0.7500 0.7500 0.7500  4 Th 3.36, 4 Sm 3.36
Th 0.0000 0.0000 0.5000  4 Sc 3.36, 4 Pu 3.36
Th 0.0000 0.5000 0.0000  4 Sc 3.36, 4 Pu 3.36
Th 0.5000 0.0000 0.0000  4 Sc 3.36, 4 Pu 3.36
Th 0.5000 0.5000 0.5000  4 Pu 3.36, 4 Sc 3.36
Sc 0.2500 0.2500 0.2500  4 Th 3.36, 4 Sm 3.36
Sc 0.2500 0.7500 0.7500  4 Th 3.36, 4 Sm 3.36
Sc 0.7500 0.2500 0.7500  4 Th 3.36, 4 Sm 3.36
Sc 0.7500 0.7500 0.2500  4 Th 3.36, 4 Sm 3.36



[4]
A plane-wave DFT calculation with GGA-PBE was carried out for an optimized crystal structure of NdTm5Tl8.

Lattice parameters (Å, degrees): 8.0169 8.0169 8.0169 110.62 110.62 107.20
With the nearest neighbours (Å) after each atom.
Atoms (fractional coordinates):
Nd 0.0000 0.0000 0.0000  8 Tl 3.22-3.45
Tm 0.0724 0.4843 0.8564  8 Tl 3.11-3.35
Tm 0.2500 0.7500 0.5000  8 Tl 3.18-3.22
Tm 0.5157 0.3721 0.5881  8 Tl 3.11-3.35
Tm 0.6279 0.2160 0.1436  8 Tl 3.11-3.35
Tm 0.7840 0.9276 0.4119  8 Tl 3.11-3.35
Tl 0.0698 0.3075 0.4371  5 Tm 3.11-3.18, 1 Nd 3.22, 2 Tl 3.32-3.48
Tl 0.2495 0.1587 0.7666  5 Tm 3.19-3.35, 2 Tl 3.23-3.32, 1 Nd 3.45
Tl 0.3673 0.9302 0.2377  5 Tm 3.11-3.18, 1 Nd 3.22, 2 Tl 3.32-3.48
Tl 0.3920 0.4829 0.2334  5 Tm 3.19-3.35, 2 Tl 3.23-3.32, 1 Nd 3.45
Tl 0.5171 0.7505 0.9091  5 Tm 3.19-3.35, 2 Tl 3.23-3.32, 1 Nd 3.45
Tl 0.6925 0.1295 0.7623  5 Tm 3.11-3.18, 1 Nd 3.22, 2 Tl 3.32-3.48
Tl 0.8413 0.6080 0.0909  5 Tm 3.19-3.35, 2 Tl 3.23-3.32, 1 Nd 3.45
Tl 0.8705 0.6327 0.5629  5 Tm 3.11-3.18, 1 Nd 3.22, 2 Tl 3.32-3.48



Number 1: energy relative to the elements -0.301 eV/atom, magnetization 0.00 Bohr magnetons per cell. Number 2: energy relative to the elements 0.336 eV/atom, magnetization 1.45 Bohr magnetons per cell. Number 3: energy relative to the elements 0.186 eV/atom, magnetization 29.30 Bohr magnetons per cell. Number 4: energy relative to the elements -0.203 eV/atom, magnetization 0.00 Bohr magnetons per cell.